1.
Compound: NbTcPtPb2
Source: Alexandria
Functional: PBE
Structure: optimized geometry

Output
* energy of formation: 1.297 eV/atom
* SG: No. 123
* M_tot: 1.015 μB per formula unit
* uncorrected energy: -5.48 eV/atom

a = 5.4687 Å, b = 4.6287 Å, c = 5.4687 Å
α = 90.00°, β = 90.00°, γ = 90.00°
Closest atoms and distances in Å follow each position.
Element x y z (fractional)
Pt (0.5000, 0.5000, 0.5000)  8 Pb 3.58, 4 Tc 3.87
Pb (0.0000, 0.0000, 0.5000)  2 Nb 2.73
Pb (0.5000, 0.0000, 0.0000)  2 Nb 2.73
Nb (0.0000, 0.0000, 0.0000)  2 Tc 2.31
Tc (0.0000, 0.5000, 0.0000)  2 Nb 2.31

2.
Compound: TiBPO2
Source: Alexandria
Functional: PBE
Structure: optimized geometry

Output
* SG: No. 123
* distance to the lowest polymorph of the same formula: 0.0 meV per atom
* energy relative to the elements, uncorrected: -2.6 eV per formula unit
* M_tot: 0.149 μB per formula unit
* uncorrected energy: -6.50 eV/atom

a = 3.6568 Å, b = 3.6568 Å, c = 5.4488 Å
α = 90.00°, β = 90.00°, γ = 90.00°
Closest atoms and distances in Å follow each position.
Element x y z (fractional)
Ti (0.0000, 0.0000, 0.0000)  4 O 1.83
O (0.0000, 0.5000, 0.0000)  2 Ti 1.83
O (0.5000, 0.0000, 0.0000)  2 Ti 1.83
P (0.0000, 0.0000, 0.5000)  4 B 2.59, 2 Ti 2.72
B (0.5000, 0.5000, 0.5000)  4 P 2.59

3.
Compound: HfSnH3
Source: Alexandria
Functional: PBE
Structure: optimized geometry

Output
* SG: No. 221
* distance to the lowest polymorph of the same formula: 789.7 meV per atom
* M_tot: 0.000 μB per formula unit
* uncorrected energy: -3.98 eV/atom

a = 3.8835 Å, b = 3.8835 Å, c = 3.8835 Å
α = 90.00°, β = 90.00°, γ = 90.00°
Closest atoms and distances in Å follow each position.
Element x y z (fractional)
H (0.0000, 0.0000, 0.5000)  2 Sn 1.94
H (0.0000, 0.5000, 0.0000)  2 Sn 1.94
H (0.5000, 0.0000, 0.0000)  2 Sn 1.94
Hf (0.5000, 0.5000, 0.5000)  12 H 2.75
Sn (0.0000, 0.0000, 0.0000)  6 H 1.94

4.
Compound: Sr2LiEu
Source: Alexandria
Functional: PBE
Structure: optimized geometry

Output
* energy of formation: 0.191 eV/atom
* SG: No. 166
* distance to the lowest polymorph of the same formula: 156.0 meV per atom
* M_tot: 7.508 μB per formula unit
* uncorrected energy: -3.70 eV/atom

a = 4.0045 Å, b = 4.0045 Å, c = 13.8386 Å
α = 81.68°, β = 81.68°, γ = 60.00°
Closest atoms and distances in Å follow each position.
Element x y z (fractional)
Sr (0.0848, 0.0848, 0.7455)  1 Li 3.47
Sr (0.9152, 0.9152, 0.2545)  1 Li 3.47
Eu (0.5000, 0.5000, 0.5000)  6 Eu 4.00, 6 Sr 4.07
Li (0.0000, 0.0000, 0.0000)  2 Sr 3.47

5.
Compound: RbSrRe2
Source: Alexandria
Functional: PBE
Structure: optimized geometry

Output
* energy of formation: 2.445 eV/atom
* SG: No. 225
* distance to the lowest polymorph of the same formula: 264.5 meV per atom
* M_tot: 6.727 μB per formula unit
* uncorrected energy: -4.44 eV/atom

a = 5.4315 Å, b = 5.4315 Å, c = 5.4315 Å
α = 60.00°, β = 60.00°, γ = 60.00°
Closest atoms and distances in Å follow each position.
Element x y z (fractional)
Sr (0.5000, 0.5000, 0.5000)  8 Re 3.33
Rb (0.0000, 0.0000, 0.0000)  8 Re 3.33
Re (0.7500, 0.7500, 0.7500)  4 Sr 3.33, 4 Rb 3.33
Re (0.2500, 0.2500, 0.2500)  4 Rb 3.33, 4 Sr 3.33

6.
Compound: YGaGe2
Source: Alexandria
Functional: PBE
Structure: optimized geometry

Output
* energy of formation: -0.325 eV/atom
* SG: No. 122
* M_tot: 0.000 μB per formula unit
* uncorrected energy: -5.01 eV/atom

a = 7.4760 Å, b = 7.4760 Å, c = 6.1115 Å
α = 52.29°, β = 52.29°, γ = 90.00°
Closest atoms and distances in Å follow each position.
Element x y z (fractional)
Ge (0.3750, 0.4177, 0.7500)  2 Ga 2.55
Ge (0.1677, 0.6250, 0.2500)  2 Ga 2.55
Ge (0.8750, 0.8323, 0.7500)  2 Ga 2.55
Ge (0.5823, 0.1250, 0.2500)  2 Ga 2.55
Y (0.0000, 0.0000, 0.0000)  4 Ge 2.98, 2 Ga 3.07
Y (0.7500, 0.2500, 0.5000)  4 Ge 2.98, 2 Ga 3.07
Ga (0.5000, 0.5000, 0.0000)  4 Ge 2.55
Ga (0.2500, 0.7500, 0.5000)  4 Ge 2.55

7.
Compound: SmDyTmZr
Source: Alexandria
Functional: PBE
Structure: optimized geometry

Output
* energy of formation: 0.219 eV/atom
* SG: No. 216
* M_tot: 1.836 μB per formula unit
* uncorrected energy: -5.37 eV/atom

a = 5.4920 Å, b = 5.4920 Å, c = 5.4920 Å
α = 60.00°, β = 60.00°, γ = 60.00°
Closest atoms and distances in Å follow each position.
Element x y z (fractional)
Sm (0.7500, 0.7500, 0.7500)  4 Dy 3.36, 4 Tm 3.36
Tm (0.5000, 0.5000, 0.5000)  4 Sm 3.36, 4 Zr 3.36
Zr (0.2500, 0.2500, 0.2500)  4 Tm 3.36, 4 Dy 3.36
Dy (0.0000, 0.0000, 0.0000)  4 Zr 3.36, 4 Sm 3.36

8.
Compound: K2NaBe
Source: Alexandria
Functional: PBE
Structure: optimized geometry

Output
* energy of formation: 0.756 eV/atom
* SG: No. 122
* M_tot: 0.000 μB per formula unit
* uncorrected energy: -1.05 eV/atom

a = 5.3126 Å, b = 5.3126 Å, c = 12.8147 Å
α = 78.04°, β = 78.04°, γ = 90.00°
Closest atoms and distances in Å follow each position.
Element x y z (fractional)
K (0.1464, 0.6250, 0.2500)  2 Be 3.55, 4 K 3.60-3.92, 2 Na 3.64
K (0.3750, 0.3964, 0.7500)  2 Be 3.55, 4 K 3.60-3.92, 2 Na 3.64
K (0.6036, 0.1250, 0.2500)  2 Be 3.55, 4 K 3.60-3.92, 2 Na 3.64
K (0.8750, 0.8536, 0.7500)  2 Be 3.55, 4 K 3.60-3.92, 2 Na 3.64
Be (0.2500, 0.7500, 0.5000)  4 K 3.55, 4 Na 3.76
Be (0.5000, 0.5000, 0.0000)  4 K 3.55, 4 Na 3.76
Na (0.0000, 0.0000, 0.0000)  4 K 3.64, 4 Be 3.76
Na (0.7500, 0.2500, 0.5000)  4 K 3.64, 4 Be 3.76